Na2CdSn6 (PBE, optimized geometry); formation energy = -2.9 kJ per mole of atoms; polymorph energy (0 for the lowest one) = 44.9 meV per atom; raw total energy = -3.093 eV per atom
1.0
5.618 -3.189 0.000
5.618 3.189 0.000
-4.156 0.000 7.477
Na Cd Sn
2 1 6
direct
0.196 0.196 0.109
0.804 0.804 0.891
0.500 0.500 0.000
0.220 0.220 0.665
0.232 0.732 0.675
0.268 0.768 0.325
0.732 0.232 0.675
0.768 0.268 0.325
0.780 0.780 0.335

Na4Cd2Sn5 (PBE, optimized geometry); formation energy = -7.3 kJ per mole of atoms; raw total energy = -2.541 eV per atom
1.0
10.044 0.000 0.000
0.000 3.226 0.000
-4.101 0.000 9.270
Na Cd Sn
4 2 5
direct
0.213 0.000 0.457
0.280 0.000 0.996
0.720 0.000 0.004
0.787 0.000 0.543
0.094 0.500 0.154
0.906 0.500 0.846
0.097 0.500 0.674
0.427 0.500 0.772
0.500 0.500 0.500
0.573 0.500 0.228
0.903 0.500 0.326